[1]
TePCl2: PBEsol geometry, meta-GGA SCAN.

## Properties
N(E_F): 0.898 states/eV/cell
formation energy from raw total energies: -0.2180 eV/atom
energy above the most stable polymorph in this dataset: 0 meV per atom

Lattice parameters (Å, degrees): 3.965 4.005 6.888 90.00 90.00 90.00
Element x y z (fractional)
Cl 0.500 0.500 0.303
Te 0.500 0.500 0.646
P 0.000 0.000 0.624
Cl 0.000 0.000 0.927

***

[2]
TePCl2: PBEsol geometry, meta-GGA SCAN.

## Properties
N(E_F): 2.891 states/eV/cell
formation energy from raw total energies: 0.7964 eV/atom
energy above the most stable polymorph in this dataset: 1014 meV per atom

Lattice parameters (Å, degrees): 4.852 4.852 4.852 60.00 60.00 60.00
Element x y z (fractional)
Cl 0.750 0.750 0.750
Cl 0.250 0.250 0.250
Te 0.500 0.500 0.500
P 0.000 0.000 0.000

***

[3]
TePCl2: PBEsol geometry, meta-GGA SCAN.

## Properties
N(E_F): 2.774 states/eV/cell
formation energy from raw total energies: 0.4092 eV/atom
energy above the most stable polymorph in this dataset: 627 meV per atom

Lattice parameters (Å, degrees): 3.227 3.227 9.714 80.44 80.44 60.00
Element x y z (fractional)
Te 0.000 0.000 0.000
P 0.500 0.500 0.500
Cl 0.230 0.230 0.311
Cl 0.770 0.770 0.689

***

[4]
TePCl: PBEsol geometry, meta-GGA SCAN.

## Properties
N(E_F): 0.639 states/eV/cell
formation energy from raw total energies: -0.1425 eV/atom

Lattice parameters (Å, degrees): 3.802 3.802 6.832 106.16 106.16 90.00
Element x y z (fractional)
Te 0.250 0.250 0.501
P 0.793 0.793 0.586
Cl 0.957 0.957 0.913

***

Please write out number 2 again, unchanged.
TePCl2: PBEsol geometry, meta-GGA SCAN.

## Properties
N(E_F): 2.891 states/eV/cell
formation energy from raw total energies: 0.7964 eV/atom
energy above the most stable polymorph in this dataset: 1014 meV per atom

Lattice parameters (Å, degrees): 4.852 4.852 4.852 60.00 60.00 60.00
Element x y z (fractional)
Cl 0.750 0.750 0.750
Cl 0.250 0.250 0.250
Te 0.500 0.500 0.500
P 0.000 0.000 0.000